# 1
# NaBeAs2

A relaxed NaBeAs2 crystal (PBE, Alexandria via LeMat-Bulk).

Geometry as extended XYZ:
```
8
Lattice="3.7143 -0.0097 0.0000 -0.1545 3.7111 0.0000 -1.7799 -1.8507 11.5654" Properties=species:S:1:pos:R:3 pbc="T T T"
As 0.0278 0.0289 7.2016
Na 1.8118 1.8839 8.7979
Be -0.0508 1.8831 5.7827
Na 0.0319 0.0331 2.7676
As 3.4605 1.8418 0.0000
As 1.8077 1.8796 4.3639
As 1.7054 3.5297 0.0000
Be 1.8837 0.0228 5.7827
```

Calculated values
As for the crystal system: orthorhombic. The formation energy from the elements is -0.257 eV/atom. As for the symmetry: Fmm2, No. 42. The size of the total moment comes out at 0.0 μB per formula unit.



# 2
# NaBeAs2

A relaxed NaBeAs2 crystal (PBE, Alexandria via LeMat-Bulk).

Geometry as extended XYZ:
```
4
Lattice="-1.0453 -1.9733 -2.7769 2.3350 -2.1198 -1.6588 -1.2357 -6.6023 2.8704" Properties=species:S:1:pos:R:3 pbc="T T T"
Na 0.0270 -5.3477 -0.7826
As -0.0955 -8.4492 -0.8188
Be 0.0000 0.0000 0.0000
As 0.1495 -2.2461 -0.7465
```

Calculated values
As for the crystal system: trigonal. The formation energy from the elements is 0.051 eV/atom. As for the symmetry: R-3m, No. 166. The size of the total moment comes out at 0.0 μB per formula unit.